(1)
## Mn2FeRu (PBE-GGA)

Data for a geometry-optimized Mn2FeRu structure.

Distance to the lowest polymorph of the same formula, meV/atom: 105.2
Calculated volume, Å³ per cell: 47
DOS at the Fermi energy, states/eV/atom: 1.2312
SG: C2/m (12)

POSCAR file:
```
Mn2FeRu
1.0
4.4129 0.0029 -0.0085
3.6635 2.4602 -0.0085
0.7520 0.2293 4.3334
Fe Ru Mn
1 1 2
direct
0.7500 0.7500 0.7500
0.2500 0.2500 0.2500
0.0041 0.0041 0.9852
0.4959 0.4959 0.5148
```

(2)
## Y2Pd2I (PBE-GGA)

Data for a geometry-optimized Y2Pd2I structure.

Distance to the lowest polymorph of the same formula, meV/atom: 99.7
Uncorrected formation energy, eV/atom: -0.677
Calculated volume, Å³ per cell: 131
DOS at the Fermi energy, states/eV/atom: 0.5152
SG: I4/mmm (139)

POSCAR file:
```
Y2Pd2I
1.0
-2.7500 -2.1530 -1.7986
2.7862 -1.8015 -2.1035
0.7260 -7.9089 4.0669
I Y Pd
1 2 2
direct
0.0000 0.0000 0.0000
0.6313 0.6313 0.7373
0.3687 0.3687 0.2627
0.2500 0.7500 0.5000
0.7500 0.2500 0.5000
```

> Among the records above, which one has the highest distance to the lowest polymorph of the same formula?

Mn2FeRu

> Look up the calculated volume of the first one.

47 Å³ per cell

> The highest distance to the lowest polymorph of the same formula belongs to which entry?

Mn2FeRu